The following is a DFT calculation (PBE-GGA) of a geometry-optimized PmPr2Sm7 structure.

Cell lengths 6.736, 29.474, 3.501 Å; angles 90.00, 90.00, 90.00 degrees
Space group Cmmm (No. 65)
Symmetry-distinct sites (fractional):
Pm  0.000  0.000  0.000
Pr  0.000  0.295  0.500
Sm  0.000  0.188  0.000
Sm  0.000  0.500  0.500
Sm  0.246  0.099  0.500

density of states at the Fermi level	16.467	states/eV/f.u.
formation energy	153	meV per atom